Entry 1:
Entry from Alexandria via LeMat-Bulk: a geometry-optimized SnHPd4 structure (GGA-PBE).

The structure in CIF format:
```
data_SnHPd4
_space_group_name_H-M_alt 'P 1'
_space_group_IT_number 1
_cell_length_a 6.091
_cell_length_b 6.091
_cell_length_c 4.947
_cell_angle_alpha 100.08
_cell_angle_beta 100.08
_cell_angle_gamma 104.56
loop_
_space_group_symop_operation_xyz
'x,y,z'
loop_
_atom_site_label
_atom_site_type_symbol
_atom_site_fract_x
_atom_site_fract_y
_atom_site_fract_z
Sn1 Sn 0.132 0.868 0.750
Sn2 Sn 0.868 0.132 0.250
H1 H 0.491 0.509 0.750
H2 H 0.509 0.491 0.250
Pd1 Pd 0.077 0.313 0.862
Pd2 Pd 0.268 0.531 0.452
Pd3 Pd 0.313 0.077 0.362
Pd4 Pd 0.469 0.732 0.048
Pd5 Pd 0.531 0.268 0.952
Pd6 Pd 0.687 0.923 0.638
Pd7 Pd 0.732 0.469 0.548
Pd8 Pd 0.923 0.687 0.138
```

Distance to the lowest polymorph of the same formula: 0.000 eV per atom
Calculated total energy: -4.992 eV per atom

Entry 2:
Entry from Alexandria via LeMat-Bulk: a geometry-optimized SnH2Pd2 structure (GGA-PBE).

The structure in CIF format:
```
data_SnH2Pd2
_space_group_name_H-M_alt 'P 1'
_space_group_IT_number 1
_cell_length_a 6.385
_cell_length_b 6.385
_cell_length_c 6.385
_cell_angle_alpha 151.09
_cell_angle_beta 151.09
_cell_angle_gamma 41.34
loop_
_space_group_symop_operation_xyz
'x,y,z'
loop_
_atom_site_label
_atom_site_type_symbol
_atom_site_fract_x
_atom_site_fract_y
_atom_site_fract_z
Sn1 Sn 0.000 0.000 0.000
H1 H 0.250 0.750 0.500
H2 H 0.750 0.250 0.500
Pd1 Pd 0.337 0.337 0.000
Pd2 Pd 0.663 0.663 0.000
```

Calculated total energy: -4.345 eV per atom

Entry 3:
Entry from Alexandria via LeMat-Bulk: a geometry-optimized Sr2SnHPd structure (GGA-PBE).

The structure in CIF format:
```
data_Sr2SnHPd
_space_group_name_H-M_alt 'P 1'
_space_group_IT_number 1
_cell_length_a 5.641
_cell_length_b 5.641
_cell_length_c 3.760
_cell_angle_alpha 90.00
_cell_angle_beta 90.00
_cell_angle_gamma 90.00
loop_
_space_group_symop_operation_xyz
'x,y,z'
loop_
_atom_site_label
_atom_site_type_symbol
_atom_site_fract_x
_atom_site_fract_y
_atom_site_fract_z
Sr1 Sr 0.000 0.500 0.000
Sr2 Sr 0.500 0.000 0.000
Sn1 Sn 0.000 0.000 0.500
H1 H 0.500 0.500 0.000
Pd1 Pd 0.500 0.500 0.500
```

Calculated total energy: -3.746 eV per atom

Which of these has the lowest calculated total energy?
SnHPd4

Repeat the first record exactly.
Entry from Alexandria via LeMat-Bulk: a geometry-optimized SnHPd4 structure (GGA-PBE).

The structure in CIF format:
```
data_SnHPd4
_space_group_name_H-M_alt 'P 1'
_space_group_IT_number 1
_cell_length_a 6.091
_cell_length_b 6.091
_cell_length_c 4.947
_cell_angle_alpha 100.08
_cell_angle_beta 100.08
_cell_angle_gamma 104.56
loop_
_space_group_symop_operation_xyz
'x,y,z'
loop_
_atom_site_label
_atom_site_type_symbol
_atom_site_fract_x
_atom_site_fract_y
_atom_site_fract_z
Sn1 Sn 0.132 0.868 0.750
Sn2 Sn 0.868 0.132 0.250
H1 H 0.491 0.509 0.750
H2 H 0.509 0.491 0.250
Pd1 Pd 0.077 0.313 0.862
Pd2 Pd 0.268 0.531 0.452
Pd3 Pd 0.313 0.077 0.362
Pd4 Pd 0.469 0.732 0.048
Pd5 Pd 0.531 0.268 0.952
Pd6 Pd 0.687 0.923 0.638
Pd7 Pd 0.732 0.469 0.548
Pd8 Pd 0.923 0.687 0.138
```

Distance to the lowest polymorph of the same formula: 0.000 eV per atom
Calculated total energy: -4.992 eV per atom

Look up the calculated total energy of the first one.
-4.992 eV per atom